{
  "formula": "TmSnTe",
  "functional": "GGA-PBE",
  "state": "optimized geometry",
  "cell": [[7.294, 0.000, 0.000], [0.000, 7.294, 0.000], [0.000, 0.000, 7.294]],
  "species": ["Tm", "Tm", "Tm", "Tm", "Sn", "Sn", "Sn", "Sn", "Te", "Te", "Te", "Te"],
  "fractional_positions": [[0.000, 0.000, 0.000], [0.000, 0.500, 0.500], [0.500, 0.000, 0.500], [0.500, 0.500, 0.000], [0.250, 0.250, 0.750], [0.250, 0.750, 0.250], [0.750, 0.250, 0.250], [0.750, 0.750, 0.750], [0.250, 0.250, 0.250], [0.250, 0.750, 0.750], [0.750, 0.250, 0.750], [0.750, 0.750, 0.250]],
  "spacegroup": "F-43m (216)",
  "dft_energy_ev_per_atom": -4.216
}